(1)
Crystalline Ca2InGe at its relaxed geometry. Source: the Alexandria database, functional PBE.

Values from the calculation:
For the density of states at the Fermi level, the calculation gives 2.28 states/eV/f.u. Its magnetic moment is 0.0 μB/cell. The calculation puts the formation energy from the elements at -536.1 meV per atom. The calculation puts the total energy at -3.376 eV/atom.

a b c (Å): 6.1736 4.3461 8.8583
angles (deg): 90.00 107.73 90.00
Space group P2_1/m (No. 11)
One atom of each set of equivalent atoms:
Ca1 0.1879 0.2500 0.4187 (multiplicity 2)
Ca2 0.2745 0.7500 0.0603 (multiplicity 2)
In1 0.3761 0.7500 0.7115 (multiplicity 2)
Ge1 0.1425 0.2500 0.7886 (multiplicity 2)



(2)
Crystalline SmDySc2Se4 at its relaxed geometry. Source: the Alexandria database, functional PBE.

Values from the calculation:
For the density of states at the Fermi level, the calculation gives 5.07 states/eV/f.u. Its magnetic moment is 0.0 μB/cell. The value obtained for the formation energy without anion corrections is -13.4 eV/f.u. The calculation puts the total energy at -6.167 eV/atom.

a b c (Å): 6.9150 3.9590 6.9982
angles (deg): 90.00 108.97 90.00
Space group P2/m (No. 10)
One atom of each set of equivalent atoms:
Sm1 0.0000 0.0000 0.0000 (multiplicity 1)
Dy1 0.5000 0.5000 0.0000 (multiplicity 1)
Sc1 0.0000 0.5000 0.5000 (multiplicity 1)
Sc2 0.5000 0.0000 0.5000 (multiplicity 1)
Se1 0.2479 0.0000 0.7317 (multiplicity 2)
Se2 0.2612 0.5000 0.2713 (multiplicity 2)



- magnetic moment of number 1 (Ca2InGe)?
  0.0 μB/cell



- Which value of magnetic moment does entry 1 give?
  0.0 μB/cell